Record 1
# RuRh2Br | Alexandria via LeMat-Bulk | PBE-GGA | relaxed
data_RuRh2Br
_cell_length_a 9.0027
_cell_length_b 2.9121
_cell_length_c 4.8274
_cell_angle_alpha 90.00
_cell_angle_beta 101.44
_cell_angle_gamma 90.00
_space_group_name_H-M_alt 'C 1 2/m 1'
_space_group_IT_number 12
loop_
_space_group_symop_operation_xyz
'x,y,z'
'-x,-y,-z'
'-x,y,-z'
'x,-y,z'
'x+1/2,y+1/2,z'
'-x+1/2,-y+1/2,-z'
'-x+1/2,y+1/2,-z'
'x+1/2,-y+1/2,z'
loop_
_atom_site_label
_atom_site_fract_x
_atom_site_fract_y
_atom_site_fract_z
_atom_site_occupancy
Ru1 0.0000 0.0000 0.0000 1
Rh1 0.2466 0.5000 0.2338 1
Br1 0.0000 0.5000 0.5000 1
# VASP energy = -46.04 eV/cell
# Density = 10.36 g cm⁻³

---

Record 2
# RuRhBr2 | Alexandria via LeMat-Bulk | PBE-GGA | relaxed
data_RuRhBr2
_cell_length_a 3.1242
_cell_length_b 3.1242
_cell_length_c 8.4757
_cell_angle_alpha 90.00
_cell_angle_beta 90.00
_cell_angle_gamma 90.00
_space_group_name_H-M_alt 'P 4 m m'
_space_group_IT_number 99
loop_
_space_group_symop_operation_xyz
'x,y,z'
'-y,x,z'
'-x,-y,z'
'y,-x,z'
'-x,y,z'
'y,x,z'
'x,-y,z'
'-y,-x,z'
loop_
_atom_site_label
_atom_site_fract_x
_atom_site_fract_y
_atom_site_fract_z
_atom_site_occupancy
Ru1 0.0000 0.0000 0.0000 1
Rh1 0.5000 0.5000 0.8273 1
Br1 0.0000 0.0000 0.6211 1
Br2 0.5000 0.5000 0.2031 1
# VASP energy = -18.47 eV/cell
# Density = 7.30 g cm⁻³

---

Record 3
# RuRhBr2 | Alexandria via LeMat-Bulk | PBE-GGA | relaxed
data_RuRhBr2
_cell_length_a 3.2103
_cell_length_b 3.2103
_cell_length_c 23.6470
_cell_angle_alpha 90.00
_cell_angle_beta 90.00
_cell_angle_gamma 120.00
_space_group_name_H-M_alt 'R -3 m'
_space_group_IT_number 166
_space_group_name_Hall '-R 3 2"'
loop_
_atom_site_label
_atom_site_fract_x
_atom_site_fract_y
_atom_site_fract_z
_atom_site_occupancy
Ru1 0.0000 0.0000 0.0000 1
Rh1 0.0000 0.0000 0.5000 1
Br1 0.0000 0.0000 0.2527 1
# VASP energy = -51.73 eV/cell
# Density = 8.59 g cm⁻³

---

Record 4
# RuRh2Br | Alexandria via LeMat-Bulk | PBE-GGA | relaxed
data_RuRh2Br
_cell_length_a 2.7949
_cell_length_b 4.9401
_cell_length_c 9.3446
_cell_angle_alpha 90.00
_cell_angle_beta 90.00
_cell_angle_gamma 90.00
_space_group_name_H-M_alt 'C m m m'
_space_group_IT_number 65
_space_group_name_Hall '-C 2 2'
loop_
_atom_site_label
_atom_site_fract_x
_atom_site_fract_y
_atom_site_fract_z
_atom_site_occupancy
Ru1 0.0000 0.0000 0.0000 1
Rh1 0.0000 0.5000 0.2367 1
Br1 0.0000 0.0000 0.5000 1
# VASP energy = -46.06 eV/cell
# Density = 9.96 g cm⁻³

---

Record 5
# RuRh2Br | Alexandria via LeMat-Bulk | PBE-GGA | relaxed
data_RuRh2Br
_cell_length_a 4.0332
_cell_length_b 4.0332
_cell_length_c 7.6088
_cell_angle_alpha 90.00
_cell_angle_beta 90.00
_cell_angle_gamma 90.00
_space_group_name_H-M_alt 'I 4/m m m'
_space_group_IT_number 139
_space_group_name_Hall '-I 4 2'
loop_
_atom_site_label
_atom_site_fract_x
_atom_site_fract_y
_atom_site_fract_z
_atom_site_occupancy
Ru1 0.0000 0.0000 0.0000 1
Rh1 0.0000 0.5000 0.2500 1
Br1 0.0000 0.0000 0.5000 1
# VASP energy = -44.88 eV/cell
# Density = 10.38 g cm⁻³

---

Record 6
# RuRhBr2 | Alexandria via LeMat-Bulk | PBE-GGA | relaxed
data_RuRhBr2
_cell_length_a 4.6403
_cell_length_b 4.6403
_cell_length_c 15.1321
_cell_angle_alpha 90.00
_cell_angle_beta 90.00
_cell_angle_gamma 90.00
_space_group_name_H-M_alt 'I -4 2 d'
_space_group_IT_number 122
_space_group_name_Hall 'I -4 2bw'
loop_
_atom_site_label
_atom_site_fract_x
_atom_site_fract_y
_atom_site_fract_z
_atom_site_occupancy
Ru1 0.0000 0.0000 0.0000 1
Rh1 0.0000 0.0000 0.5000 1
Br1 0.2441 0.2500 0.1250 1
# VASP energy = -68.23 eV/cell
# Density = 7.42 g cm⁻³

---

Record 7
# RuRhSe2Br | Alexandria via LeMat-Bulk | PBE-GGA | relaxed
data_RuRhSe2Br
_cell_length_a 4.7474
_cell_length_b 4.7474
_cell_length_c 5.2134
_cell_angle_alpha 90.00
_cell_angle_beta 90.00
_cell_angle_gamma 90.00
_space_group_name_H-M_alt 'P 4/m m m'
_space_group_IT_number 123
_space_group_name_Hall '-P 4 2'
loop_
_atom_site_label
_atom_site_fract_x
_atom_site_fract_y
_atom_site_fract_z
_atom_site_occupancy
Ru1 0.0000 0.0000 0.0000 1
Rh1 0.5000 0.5000 0.5000 1
Se1 0.0000 0.5000 0.0000 1
Br1 0.0000 0.0000 0.5000 1
# VASP energy = -21.13 eV/cell
# Density = 6.24 g cm⁻³

---

Record 8
# Sm8Ru3RhBr4 | Alexandria via LeMat-Bulk | PBE-GGA | relaxed
data_Sm8Ru3RhBr4
_cell_length_a 14.0288
_cell_length_b 8.0910
_cell_length_c 9.0910
_cell_angle_alpha 90.00
_cell_angle_beta 121.05
_cell_angle_gamma 90.00
_space_group_name_H-M_alt 'C 1 2/m 1'
_space_group_IT_number 12
loop_
_space_group_symop_operation_xyz
'x,y,z'
'-x,-y,-z'
'-x,y,-z'
'x,-y,z'
'x+1/2,y+1/2,z'
'-x+1/2,-y+1/2,-z'
'-x+1/2,y+1/2,-z'
'x+1/2,-y+1/2,z'
loop_
_atom_site_label
_atom_site_fract_x
_atom_site_fract_y
_atom_site_fract_z
_atom_site_occupancy
Sm1 0.0192 0.2463 0.3042 1
Sm2 0.2325 0.0000 0.6974 1
Sm3 0.2344 0.5000 0.6957 1
Ru1 0.0000 0.0000 0.5000 1
Ru2 0.2500 0.2500 0.5000 1
Rh1 0.0000 0.5000 0.5000 1
Br1 0.0000 0.0000 0.0000 1
Br2 0.0000 0.5000 0.0000 1
Br3 0.2500 0.2500 0.0000 1
# VASP energy = -186.39 eV/cell
# Density = 7.25 g cm⁻³

---

Record 9
# Sm6RuRh2Br3 | Alexandria via LeMat-Bulk | PBE-GGA | relaxed
data_Sm6RuRh2Br3
_cell_length_a 19.5015
_cell_length_b 4.0485
_cell_length_c 9.0981
_cell_angle_alpha 90.00
_cell_angle_beta 112.28
_cell_angle_gamma 90.00
_space_group_name_H-M_alt 'C 1 2/m 1'
_space_group_IT_number 12
loop_
_space_group_symop_operation_xyz
'x,y,z'
'-x,-y,-z'
'-x,y,-z'
'x,-y,z'
'x+1/2,y+1/2,z'
'-x+1/2,-y+1/2,-z'
'-x+1/2,y+1/2,-z'
'x+1/2,-y+1/2,z'
loop_
_atom_site_label
_atom_site_fract_x
_atom_site_fract_y
_atom_site_fract_z
_atom_site_occupancy
Sm1 0.0098 0.0000 0.2172 1
Sm2 0.1523 0.5000 0.1085 1
Sm3 0.1785 0.5000 0.5526 1
Ru1 0.0000 0.5000 0.0000 1
Rh1 0.1671 0.0000 0.3338 1
Br1 0.0000 0.5000 0.5000 1
Br2 0.1661 0.0000 0.8329 1
# VASP energy = -138.29 eV/cell
# Density = 7.24 g cm⁻³

---

Record 10
# Sm8RuRh3Br4 | Alexandria via LeMat-Bulk | PBE-GGA | relaxed
data_Sm8RuRh3Br4
_cell_length_a 8.1146
_cell_length_b 8.1146
_cell_length_c 23.3677
_cell_angle_alpha 90.00
_cell_angle_beta 90.00
_cell_angle_gamma 120.00
_space_group_name_H-M_alt 'R -3 m'
_space_group_IT_number 166
_space_group_name_Hall '-R 3 2"'
loop_
_atom_site_label
_atom_site_fract_x
_atom_site_fract_y
_atom_site_fract_z
_atom_site_occupancy
Sm1 0.0000 0.0000 0.2313 1
Sm2 0.0047 0.5023 0.2321 1
Ru1 0.0000 0.0000 0.5000 1
Rh1 0.0000 0.5000 0.5000 1
Br1 0.0000 0.0000 0.0000 1
Br2 0.0000 0.5000 0.0000 1
# VASP energy = -275.88 eV/cell
# Density = 7.22 g cm⁻³

---

Record 11
# TcRuRh2Br | Alexandria via LeMat-Bulk | PBE-GGA | relaxed
data_TcRuRh2Br
_cell_length_a 4.7675
_cell_length_b 4.7675
_cell_length_c 4.7195
_cell_angle_alpha 90.00
_cell_angle_beta 90.00
_cell_angle_gamma 90.00
_space_group_name_H-M_alt 'P 4/m m m'
_space_group_IT_number 123
_space_group_name_Hall '-P 4 2'
loop_
_atom_site_label
_atom_site_fract_x
_atom_site_fract_y
_atom_site_fract_z
_atom_site_occupancy
Tc1 0.0000 0.0000 0.0000 1
Ru1 0.0000 0.0000 0.5000 1
Rh1 0.0000 0.5000 0.5000 1
Br1 0.5000 0.5000 0.0000 1
# VASP energy = -28.46 eV/cell
# Density = 7.50 g cm⁻³

---

Record 12
# ZrRu2RhBr | Alexandria via LeMat-Bulk | PBE-GGA | relaxed
data_ZrRu2RhBr
_cell_length_a 4.9387
_cell_length_b 4.9387
_cell_length_c 4.8858
_cell_angle_alpha 90.00
_cell_angle_beta 90.00
_cell_angle_gamma 90.00
_space_group_name_H-M_alt 'P 4/m m m'
_space_group_IT_number 123
_space_group_name_Hall '-P 4 2'
loop_
_atom_site_label
_atom_site_fract_x
_atom_site_fract_y
_atom_site_fract_z
_atom_site_occupancy
Zr1 0.0000 0.0000 0.0000 1
Ru1 0.0000 0.5000 0.0000 1
Rh1 0.0000 0.0000 0.5000 1
Br1 0.5000 0.5000 0.5000 1
# VASP energy = -28.56 eV/cell
# Density = 6.64 g cm⁻³